1.
Here is a relaxed TlAgC crystal from the Alexandria database. Energies are from PBE.

```
TlAgC
1.0
5.233 0.000 0.000
2.510 4.600 0.000
0.421 0.306 6.193
Tl Ag C
2 2 2
direct
0.000 0.000 0.000
0.310 0.305 0.240
0.646 0.643 0.161
0.748 0.739 0.677
0.134 0.359 0.677
0.369 0.124 0.677
```

Results
- energy of formation (eV per atom) = 0.681
- space group = P1
- total magnetic moment (μB per formula unit) = 0.0
- DOS(E_F) (states/eV/cell) = 1.45

2.
Here is a relaxed TlBRh3 crystal from the Alexandria database. Energies are from PBE.

```
TlBRh3
1.0
6.958 -1.504 0.000
6.958 1.504 0.000
-5.048 0.000 7.146
Tl B Rh
2 2 6
direct
0.080 0.080 0.214
0.920 0.920 0.786
0.308 0.308 0.190
0.692 0.692 0.810
0.068 0.068 0.682
0.320 0.320 0.445
0.322 0.322 0.952
0.678 0.678 0.048
0.680 0.680 0.555
0.932 0.932 0.318
```

Results
- energy of formation (eV per atom) = -0.025
- space group = C2/m
- total magnetic moment (μB per formula unit) = 0.0
- DOS(E_F) (states/eV/cell) = 8.21

3.
Here is a relaxed Cr2CuOs crystal from the Alexandria database. Energies are from PBE.

```
Cr2CuOs
1.0
2.633 0.000 0.000
0.000 2.633 0.000
0.000 0.000 7.337
Cr Cu Os
2 1 1
direct
0.000 0.000 0.000
0.500 0.500 0.245
0.000 0.000 0.493
0.500 0.500 0.761
```

Results
- energy of formation (eV per atom) = 0.336
- space group = P4mm
- total magnetic moment (μB per formula unit) = 0.0
- DOS(E_F) (states/eV/cell) = 5.39

4.
Here is a relaxed Ac4Cu3Ge5 crystal from the Alexandria database. Energies are from PBE.

```
Ac4Cu3Ge5
1.0
7.668 -2.290 0.000
7.668 2.290 0.000
-4.011 0.000 9.010
Ac Cu Ge
4 3 5
direct
0.052 0.052 0.335
0.257 0.257 0.798
0.743 0.743 0.202
0.948 0.948 0.665
0.000 0.000 0.000
0.392 0.392 0.128
0.608 0.608 0.872
0.284 0.284 0.475
0.415 0.415 0.383
0.500 0.500 0.000
0.585 0.585 0.617
0.716 0.716 0.525
```

Results
- energy of formation (eV per atom) = -0.386
- space group = C2/m
- total magnetic moment (μB per formula unit) = 0.0
- DOS(E_F) (states/eV/cell) = 7.75

5.
Here is a relaxed Dy3GaTe crystal from the Alexandria database. Energies are from PBE.

```
Dy3GaTe
1.0
10.311 0.000 0.000
0.000 6.901 0.000
-3.782 0.000 7.991
Dy Ga Te
12 4 4
direct
0.057 0.236 0.154
0.057 0.264 0.654
0.290 0.517 0.026
0.290 0.983 0.526
0.294 0.517 0.517
0.294 0.983 0.017
0.706 0.017 0.983
0.706 0.483 0.483
0.710 0.017 0.474
0.710 0.483 0.974
0.943 0.736 0.346
0.943 0.764 0.846
0.150 0.740 0.700
0.150 0.760 0.200
0.850 0.240 0.800
0.850 0.260 0.300
0.418 0.244 0.334
0.418 0.256 0.834
0.582 0.744 0.166
0.582 0.756 0.666
```

Results
- ΔE_f (raw) (meV per atom) = -715
- space group = P2_1/c
- total magnetic moment (μB per formula unit) = 0.0
- DOS(E_F) (states/eV/cell) = 15.85

6.
Here is a relaxed TlIn2GaRu crystal from the Alexandria database. Energies are from PBE.

```
TlIn2GaRu
1.0
5.207 0.000 0.000
0.000 5.207 0.000
0.000 0.000 4.858
Tl In Ga Ru
1 2 1 1
direct
0.000 0.000 0.000
0.000 0.500 0.500
0.500 0.000 0.500
0.500 0.500 0.000
0.500 0.500 0.500
```

Results
- energy of formation (eV per atom) = -0.007
- space group = P4/mmm
- total magnetic moment (μB per formula unit) = 0.0
- DOS(E_F) (states/eV/cell) = 2.14

7.
Here is a relaxed TcAg2Cl crystal from the Alexandria database. Energies are from PBE.

```
TcAg2Cl
1.0
2.943 0.000 0.000
0.000 4.660 0.000
0.000 0.000 5.205
Tc Ag Cl
1 2 1
direct
0.000 0.000 0.000
0.000 0.500 0.500
0.500 0.000 0.500
0.500 0.500 0.000
```

Results
- ΔE_f (raw) (meV per atom) = 661
- space group = Pmmm
- total magnetic moment (μB per formula unit) = 2.1
- distance to the lowest polymorph of the same formula (meV per atom) = 423
- DOS(E_F) (states/eV/cell) = 3.46

8.
Here is a relaxed Pr2InPtO6 crystal from the Alexandria database. Energies are from PBE.

```
Pr2InPtO6
1.0
5.633 0.000 0.000
0.000 6.253 0.000
-5.439 0.000 7.931
Pr In Pt O
4 2 2 12
direct
0.226 0.082 0.252
0.226 0.418 0.752
0.774 0.582 0.248
0.774 0.918 0.748
0.500 0.000 0.000
0.500 0.500 0.500
0.000 0.000 0.500
0.000 0.500 0.000
0.131 0.173 0.938
0.131 0.327 0.438
0.253 0.683 0.946
0.253 0.817 0.446
0.367 0.049 0.739
0.367 0.451 0.239
0.633 0.549 0.761
0.633 0.951 0.261
0.747 0.183 0.554
0.747 0.317 0.054
0.869 0.673 0.562
0.869 0.827 0.062
```

Results
- ΔE_f (raw) (meV per atom) = -2086
- space group = P2_1/c
- total magnetic moment (μB per formula unit) = 1.0
- DOS(E_F) (states/eV/cell) = 0.30

9.
Here is a relaxed Zr2TlCo crystal from the Alexandria database. Energies are from PBE.

```
Zr2TlCo
1.0
3.464 0.000 0.000
-1.732 3.000 0.000
0.000 0.000 24.772
Zr Tl Co
6 3 3
direct
0.000 0.000 0.000
0.000 0.000 0.208
0.333 0.667 0.667
0.333 0.667 0.874
0.667 0.333 0.333
0.667 0.333 0.541
0.000 0.000 0.437
0.333 0.667 0.103
0.667 0.333 0.770
0.000 0.000 0.604
0.333 0.667 0.271
0.667 0.333 0.937
```

Results
- energy of formation (eV per atom) = -0.060
- space group = R3m
- total magnetic moment (μB per formula unit) = 0.0
- DOS(E_F) (states/eV/cell) = 11.10

10.
Here is a relaxed Tb3Al4Ag4 crystal from the Alexandria database. Energies are from PBE.

```
Tb3Al4Ag4
1.0
3.576 0.000 0.000
0.001 4.627 0.000
1.787 2.312 14.021
Tb Al Ag
3 4 4
direct
0.000 0.000 0.000
0.143 0.644 0.713
0.857 0.356 0.287
0.312 0.811 0.377
0.453 0.452 0.095
0.547 0.548 0.905
0.688 0.189 0.623
0.261 0.261 0.478
0.406 0.906 0.188
0.594 0.094 0.812
0.739 0.739 0.522
```

Results
- energy of formation (eV per atom) = -0.364
- space group = P-1
- total magnetic moment (μB per formula unit) = 0.0
- distance to the lowest polymorph of the same formula (meV per atom) = 0
- DOS(E_F) (states/eV/cell) = 4.79

11.
Here is a relaxed LaNi3 crystal from the Alexandria database. Energies are from PBE.

```
LaNi3
1.0
4.005 0.000 0.000
0.000 4.005 0.000
0.000 0.000 7.749
La Ni
2 6
direct
0.000 0.000 0.000
0.500 0.500 0.500
0.000 0.000 0.500
0.000 0.500 0.250
0.000 0.500 0.750
0.500 0.000 0.250
0.500 0.000 0.750
0.500 0.500 0.000
```

Results
- energy of formation (eV per atom) = -0.027
- space group = I4/mmm
- total magnetic moment (μB per formula unit) = 0.0
- DOS(E_F) (states/eV/cell) = 6.91

12.
Here is a relaxed Ba3Tb crystal from the Alexandria database. Energies are from PBE.

```
Ba3Tb
1.0
8.385 0.000 0.000
-4.193 7.262 0.000
0.000 0.000 6.747
Ba Tb
6 2
direct
0.172 0.344 0.250
0.172 0.828 0.250
0.344 0.172 0.750
0.656 0.828 0.250
0.828 0.172 0.750
0.828 0.656 0.750
0.333 0.667 0.750
0.667 0.333 0.250
```

Results
- energy of formation (eV per atom) = 0.220
- space group = P6_3/mmc
- total magnetic moment (μB per formula unit) = 0.0
- distance to the lowest polymorph of the same formula (meV per atom) = 0
- DOS(E_F) (states/eV/cell) = 13.00

Question: total magnetic moment of number 2 (TlBRh3)?
Answer: 0.0 μB per formula unit